Record 1
Compound: BeZn2Pb
Source: the Alexandria database
Functional: PBE
Structure: optimized geometry

## Properties
* ΔE to the lowest computed polymorph: 0.090 eV per atom
* formation energy from the elements: 0.318 eV/atom

abc: 7.909 3.358 5.779
angles: 90.00 104.11 90.00
Space group C2/m (No. 12)
Inequivalent atoms, fractional coordinates:
1 Be 0.000 0.000 0.000 (multiplicity 2)
2 Zn 0.222 0.500 0.152 (multiplicity 4)
3 Pb 0.000 0.500 0.500 (multiplicity 2)

=====

Record 2
Compound: Be2ZnPb
Source: the Alexandria database
Functional: PBE
Structure: optimized geometry

## Properties
* ΔE to the lowest computed polymorph: 0.248 eV per atom
* formation energy from the elements: 0.534 eV/atom

abc: 2.972 3.976 5.968
angles: 90.00 104.36 90.00
Space group P2/m (No. 10)
Inequivalent atoms, fractional coordinates:
1 Be 0.191 0.000 0.352 (multiplicity 2)
2 Zn 0.000 0.500 0.500 (multiplicity 1)
3 Pb 0.000 0.500 0.000 (multiplicity 1)

=====

Record 3
Compound: ZrBePb4
Source: the Alexandria database
Functional: PBE
Structure: optimized geometry

## Properties
* formation energy from the elements: 0.792 eV/atom

abc: 8.873 8.873 8.873
angles: 90.00 90.00 90.00
Space group F-43m (No. 216)
Inequivalent atoms, fractional coordinates:
1 Zr 0.000 0.000 0.000 (multiplicity 4)
2 Be 0.250 0.250 0.750 (multiplicity 4)
3 Pb 0.125 0.125 0.375 (multiplicity 16)

=====

Record 4
Compound: Zr2BePb
Source: the Alexandria database
Functional: PBE
Structure: optimized geometry

## Properties
* ΔE to the lowest computed polymorph: 0.274 eV per atom
* formation energy from the elements: 0.183 eV/atom

abc: 6.886 6.886 6.886
angles: 90.00 90.00 90.00
Space group Fm-3m (No. 225)
Inequivalent atoms, fractional coordinates:
1 Zr 0.250 0.250 0.250 (multiplicity 8)
2 Be 0.000 0.000 0.000 (multiplicity 4)
3 Pb 0.000 0.000 0.500 (multiplicity 4)

=====

Record 5
Compound: Zr2BePb
Source: the Alexandria database
Functional: PBE
Structure: optimized geometry

## Properties
* ΔE to the lowest computed polymorph: 0.087 eV per atom
* formation energy from the elements: -0.004 eV/atom

abc: 4.312 4.312 8.622
angles: 90.00 90.00 90.00
Space group I4/mmm (No. 139)
Inequivalent atoms, fractional coordinates:
1 Zr 0.000 0.500 0.250 (multiplicity 4)
2 Be 0.000 0.000 0.000 (multiplicity 2)
3 Pb 0.000 0.000 0.500 (multiplicity 2)

=====

Record 6
Compound: ZrBePb
Source: the Alexandria database
Functional: PBE
Structure: optimized geometry

## Properties
* ΔE to the lowest computed polymorph: 0.189 eV per atom
* formation energy from the elements: 0.231 eV/atom

abc: 6.192 6.192 6.192
angles: 90.00 90.00 90.00
Space group F-43m (No. 216)
Inequivalent atoms, fractional coordinates:
1 Zr 0.000 0.000 0.000 (multiplicity 4)
2 Be 0.250 0.250 0.750 (multiplicity 4)
3 Pb 0.000 0.000 0.500 (multiplicity 4)

=====

Question: What is the formula in the third record?
Answer: ZrBePb4